# CsNaNiF6, optimized geometry, DFT PBE with a Hubbard U
data_CsNaNiF6
_chemical_formula_sum 'Cs1 Na1 Ni1 F6'
_space_group_name_H-M_alt 'P 1'
_space_group_IT_number 1
_space_group_name_Hall 'P 1'
_cell_length_a 5.660
_cell_length_b 5.660
_cell_length_c 6.134
_cell_angle_alpha 90.02
_cell_angle_beta 89.98
_cell_angle_gamma 59.95
loop_
_atom_site_label
_atom_site_fract_x
_atom_site_fract_y
_atom_site_fract_z
_atom_site_occupancy
Cs1 0.000 0.000 0.000 1
Na1 0.666 0.667 0.500 1
Ni1 0.333 0.333 0.500 1
F1 0.068 0.343 0.330 1
F2 0.342 0.068 0.670 1
F3 0.589 0.343 0.670 1
F4 0.068 0.590 0.669 1
F5 0.343 0.589 0.330 1
F6 0.590 0.068 0.331 1
# Calculated total energy, eV/atom: -3.892